# 1
## LaZnIn (PBE-GGA)

Data for LaZnIn after structural relaxation.

```
data_LaZnIn
_symmetry_space_group_name_H-M 'P 1'
_symmetry_Int_Tables_number 1
_symmetry_space_group_name_Hall 'P 1'
_cell_length_a 5.3090
_cell_length_b 5.3090
_cell_length_c 6.5369
_cell_angle_alpha 90.00
_cell_angle_beta 90.00
_cell_angle_gamma 120.00
loop_
_atom_site_label
_atom_site_fract_x
_atom_site_fract_y
_atom_site_fract_z
Zn1 0.0000 0.0000 0.5000
Zn2 0.0000 0.0000 0.0000
In1 0.6667 0.3333 0.7500
In2 0.3333 0.6667 0.2500
La1 0.3333 0.6667 0.7500
La2 0.6667 0.3333 0.2500
```

Values from the calculation:
Total magnetization in μB/f.u.: 0.0
Calculated total energy in eV/f.u.: -9.71

# 2
## Cu7Ag3 (PBE-GGA)

Data for Cu7Ag3 after structural relaxation.

```
data_Cu7Ag3
_symmetry_space_group_name_H-M 'P 1'
_symmetry_Int_Tables_number 1
_symmetry_space_group_name_Hall 'P 1'
_cell_length_a 7.1076
_cell_length_b 7.1076
_cell_length_c 4.6636
_cell_angle_alpha 96.32
_cell_angle_beta 96.32
_cell_angle_gamma 141.75
loop_
_atom_site_label
_atom_site_fract_x
_atom_site_fract_y
_atom_site_fract_z
Cu1 0.3041 0.6959 0.5000
Cu2 0.8002 0.1998 0.0000
Cu3 0.6018 0.3982 0.0000
Cu4 0.7047 0.2953 0.5000
Cu5 0.9956 0.0044 0.0000
Cu6 0.5001 0.4999 0.5000
Cu7 0.8937 0.1063 0.5000
Ag1 0.0934 0.9066 0.5000
Ag2 0.2008 0.7992 0.0000
Ag3 0.4055 0.5945 0.0000
```

Values from the calculation:
Calculated total energy in eV/f.u.: -33.56
Offset from the most stable computed form in meV/atom: 49
Energy of formation from the pure elements in eV/atom: 0.094

- What is the calculated total energy in the first record?
  -9.71 eV/f.u.

What did the second record say?
## Cu7Ag3 (PBE-GGA)

Data for Cu7Ag3 after structural relaxation.

```
data_Cu7Ag3
_symmetry_space_group_name_H-M 'P 1'
_symmetry_Int_Tables_number 1
_symmetry_space_group_name_Hall 'P 1'
_cell_length_a 7.1076
_cell_length_b 7.1076
_cell_length_c 4.6636
_cell_angle_alpha 96.32
_cell_angle_beta 96.32
_cell_angle_gamma 141.75
loop_
_atom_site_label
_atom_site_fract_x
_atom_site_fract_y
_atom_site_fract_z
Cu1 0.3041 0.6959 0.5000
Cu2 0.8002 0.1998 0.0000
Cu3 0.6018 0.3982 0.0000
Cu4 0.7047 0.2953 0.5000
Cu5 0.9956 0.0044 0.0000
Cu6 0.5001 0.4999 0.5000
Cu7 0.8937 0.1063 0.5000
Ag1 0.0934 0.9066 0.5000
Ag2 0.2008 0.7992 0.0000
Ag3 0.4055 0.5945 0.0000
```

Values from the calculation:
Calculated total energy in eV/f.u.: -33.56
Offset from the most stable computed form in meV/atom: 49
Energy of formation from the pure elements in eV/atom: 0.094